Record 1
First-principles (PBE) data for crystalline PuMn2Tl3Se6 at its relaxed geometry, as listed in Alexandria via LeMat-Bulk.

Computed properties:
The total energy is -5.67 eV per atom. As for the calculated volume: 25.94 Å³/atom. The calculation puts the energy relative to the elements, uncorrected at -0.613 eV/atom.

```
PuMn2Tl3Se6
1.0
6.806 0.020 0.015
-3.384 5.906 0.015
-1.148 -1.987 7.720
Pu Mn Tl Se
1 2 3 6
direct
0.000 0.000 0.000
0.332 0.668 0.000
0.668 0.332 0.000
0.158 0.842 0.500
0.842 0.158 0.500
0.500 0.500 0.500
0.937 0.574 0.807
0.699 0.699 0.186
0.063 0.426 0.193
0.574 0.937 0.807
0.301 0.301 0.814
0.426 0.063 0.193
```



Record 2
First-principles (PBE) data for crystalline Sr3NbZn at its relaxed geometry, as listed in Alexandria via LeMat-Bulk.

Computed properties:
The relative energy among the computed polymorphs comes out at 0.126 eV/atom. The total energy is -2.37 eV per atom. As for the calculated volume: 41.24 Å³/atom. The formation energy is 904 meV per atom.

```
Sr3NbZn
1.0
5.908 0.000 0.000
0.000 5.908 0.000
0.000 0.000 5.908
Sr Nb Zn
3 1 1
direct
0.000 0.500 0.000
0.000 0.000 0.500
0.500 0.000 0.000
0.000 0.000 0.000
0.500 0.500 0.500
```



Record 3
First-principles (PBE) data for crystalline Sm7Dy2Er3 at its relaxed geometry, as listed in Alexandria via LeMat-Bulk.

Computed properties:
The relative energy among the computed polymorphs comes out at 0.145 eV/atom. The total energy is -4.37 eV per atom. As for the calculated volume: 34.80 Å³/atom. The formation energy is 295 meV per atom.

```
Sm7Dy2Er3
1.0
-0.143 4.345 3.355
3.419 -3.109 4.173
10.138 4.366 -5.224
Sm Dy Er
7 2 3
direct
0.500 0.242 0.455
0.500 0.758 0.545
0.000 0.442 0.182
0.000 0.000 0.000
0.000 0.558 0.818
0.500 0.912 0.829
0.500 0.088 0.171
0.500 0.610 0.277
0.500 0.390 0.723
0.500 0.500 0.000
0.000 0.938 0.343
0.000 0.062 0.657
```



Record 4
First-principles (PBE) data for crystalline Rb2YSI6 at its relaxed geometry, as listed in Alexandria via LeMat-Bulk.

Computed properties:
The total energy is -3.11 eV per atom. As for the calculated volume: 48.36 Å³/atom. The calculation puts the energy relative to the elements, uncorrected at -0.926 eV/atom.

```
Rb2YSI6
1.0
-7.463 -4.313 -3.328
4.220 -8.147 1.096
-3.734 -6.619 4.125
I Y S Rb
6 1 1 2
direct
0.271 0.271 0.458
0.729 0.729 0.542
0.230 0.230 0.000
0.770 0.770 0.000
0.770 0.230 0.000
0.230 0.770 0.000
0.000 0.000 0.000
0.500 0.500 0.000
0.750 0.250 0.500
0.250 0.750 0.500
```



Record 5
First-principles (PBE) data for crystalline InGaCoHg2 at its relaxed geometry, as listed in Alexandria via LeMat-Bulk.

Computed properties:
The total energy is -2.10 eV per atom. As for the calculated volume: 24.38 Å³/atom. The formation energy is 595 meV per atom.

```
InGaCoHg2
1.0
-0.710 -4.988 1.223
1.085 0.903 4.311
-4.984 0.967 1.051
Co Hg Ga In
1 2 1 1
direct
0.000 0.500 0.000
0.000 0.000 0.500
0.500 0.000 0.000
0.000 0.000 0.000
0.500 0.500 0.500
```



Record 6
First-principles (PBE) data for crystalline Nd3Dy6Ho2In at its relaxed geometry, as listed in Alexandria via LeMat-Bulk.

Computed properties:
The total energy is -4.52 eV per atom. As for the calculated volume: 31.36 Å³/atom. The formation energy is -37 meV per atom.

```
Nd3Dy6Ho2In
1.0
-0.633 4.806 -3.784
-4.980 -2.780 2.300
2.063 6.446 9.511
Nd Dy Ho In
3 6 2 1
direct
0.167 0.833 0.500
0.833 0.167 0.500
0.500 0.500 0.500
0.920 0.592 0.757
0.753 0.753 0.244
0.080 0.408 0.243
0.592 0.920 0.757
0.247 0.247 0.756
0.408 0.080 0.243
0.334 0.666 0.000
0.666 0.334 0.000
0.000 0.000 0.000
```



Record 7
First-principles (PBE) data for crystalline Nd6Y4Sc at its relaxed geometry, as listed in Alexandria via LeMat-Bulk.

Computed properties:
The total energy is -5.40 eV per atom. As for the calculated volume: 33.38 Å³/atom. The formation energy is 127 meV per atom.

```
Nd6Y4Sc
1.0
-5.784 0.668 0.060
2.779 -1.726 4.623
2.927 24.692 7.462
Nd Y Sc
12 8 2
direct
0.500 0.000 0.000
0.500 0.000 0.500
0.131 0.262 0.316
0.869 0.738 0.684
0.869 0.738 0.816
0.131 0.262 0.184
0.805 0.610 0.396
0.195 0.390 0.604
0.195 0.390 0.896
0.805 0.610 0.104
0.461 0.921 0.250
0.539 0.079 0.750
0.847 0.694 0.545
0.464 0.928 0.124
0.153 0.306 0.455
0.536 0.072 0.876
0.847 0.694 0.955
0.153 0.306 0.045
0.536 0.072 0.624
0.464 0.928 0.376
0.797 0.595 0.250
0.203 0.405 0.750
```



Record 8
First-principles (PBE) data for crystalline MgTi2AlF at its relaxed geometry, as listed in Alexandria via LeMat-Bulk.

Computed properties:
The total energy is -4.47 eV per atom. As for the calculated volume: 20.08 Å³/atom. The calculation puts the energy relative to the elements, uncorrected at 0.130 eV/atom.

```
MgTi2AlF
1.0
-0.159 -2.952 -4.342
3.369 1.076 -0.855
1.978 -4.057 2.686
Mg F Al Ti
1 1 1 2
direct
0.500 0.500 0.500
0.000 0.500 0.000
0.000 0.000 0.000
0.000 0.000 0.500
0.500 0.000 0.000
```



Record 9
First-principles (PBE) data for crystalline TlTe3 at its relaxed geometry, as listed in Alexandria via LeMat-Bulk.

Computed properties:
The total energy is -2.88 eV per atom. As for the calculated volume: 33.01 Å³/atom. The calculation puts the energy relative to the elements, uncorrected at 0.069 eV/atom.

```
TlTe3
1.0
4.168 0.000 0.000
-2.084 3.609 0.000
0.000 0.000 8.778
Te Tl
3 1
direct
0.000 0.000 0.012
0.000 0.000 0.488
0.667 0.333 0.250
0.667 0.333 0.750
```



Record 10
First-principles (PBE) data for crystalline YHoEr at its relaxed geometry, as listed in Alexandria via LeMat-Bulk.

Computed properties:
The relative energy among the computed polymorphs comes out at 0.696 eV/atom. The total energy is -4.48 eV per atom. As for the calculated volume: 37.51 Å³/atom. The formation energy is 721 meV per atom.

```
YHoEr
1.0
-0.395 1.961 -2.759
-7.582 1.762 2.336
2.812 6.399 4.146
Er Ho Y
2 2 2
direct
0.000 0.000 0.000
0.500 0.500 0.500
0.000 0.738 0.738
0.000 0.262 0.262
0.500 0.239 0.761
0.500 0.761 0.239
```



Record 11
First-principles (PBE) data for crystalline RbPuTc2O8 at its relaxed geometry, as listed in Alexandria via LeMat-Bulk.

Computed properties:
The total energy is -8.14 eV per atom. As for the calculated volume: 19.26 Å³/atom. The calculation puts the energy relative to the elements, uncorrected at -1.834 eV/atom.

```
RbPuTc2O8
1.0
-5.173 -1.574 -1.642
-1.148 -0.636 -5.497
0.191 -8.756 -1.933
Rb Pu Tc O
1 1 2 8
direct
0.500 0.500 0.500
0.000 0.000 0.000
0.256 0.256 0.232
0.744 0.744 0.768
0.186 0.186 0.442
0.601 0.242 0.159
0.814 0.814 0.558
0.999 0.601 0.159
0.001 0.399 0.841
0.242 0.999 0.159
0.758 0.001 0.841
0.399 0.758 0.841
```



Record 12
First-principles (PBE) data for crystalline Tl4AsPt at its relaxed geometry, as listed in Alexandria via LeMat-Bulk.

Computed properties:
The total energy is -2.75 eV per atom. As for the calculated volume: 27.83 Å³/atom. The formation energy is 613 meV per atom.

```
Tl4AsPt
1.0
-0.916 -6.103 -0.347
-0.487 -3.351 5.171
-5.459 -2.403 1.623
Tl As Pt
4 1 1
direct
0.875 0.375 0.375
0.375 0.375 0.875
0.375 0.875 0.375
0.375 0.375 0.375
0.750 0.750 0.750
0.000 0.000 0.000
```



Record 13
First-principles (PBE) data for crystalline AlSb at its relaxed geometry, as listed in Alexandria via LeMat-Bulk.

Computed properties:
The total energy is -3.96 eV per atom. As for the calculated volume: 36.96 Å³/atom. The calculation puts the energy relative to the elements, uncorrected at -0.024 eV/atom.

```
AlSb
1.0
-6.794 7.582 3.411
-3.765 -8.739 -4.973
-0.351 -2.075 3.913
Al Sb
6 6
direct
0.654 0.073 0.250
0.581 0.654 0.750
0.927 0.581 0.250
0.346 0.927 0.750
0.419 0.346 0.250
0.073 0.419 0.750
0.909 0.318 0.250
0.591 0.909 0.750
0.682 0.591 0.250
0.091 0.682 0.750
0.409 0.091 0.250
0.318 0.409 0.750
```



Record 14
First-principles (PBE) data for crystalline OsAuBr2 at its relaxed geometry, as listed in Alexandria via LeMat-Bulk.

Computed properties:
The relative energy among the computed polymorphs comes out at 0.067 eV/atom. The total energy is -3.97 eV per atom. As for the calculated volume: 26.96 Å³/atom. The calculation puts the energy relative to the elements, uncorrected at 0.496 eV/atom.

```
OsAuBr2
1.0
5.224 -0.007 0.031
4.295 2.974 0.031
2.534 0.790 6.946
Os Au Br
1 1 2
direct
0.448 0.448 0.375
0.183 0.183 0.375
0.012 0.012 0.088
0.857 0.857 0.662
```



Record 15
First-principles (PBE) data for crystalline LiLaSnTe2 at its relaxed geometry, as listed in Alexandria via LeMat-Bulk.

Computed properties:
The total energy is -3.76 eV per atom. As for the calculated volume: 27.89 Å³/atom. The calculation puts the energy relative to the elements, uncorrected at -0.330 eV/atom.

```
LiLaSnTe2
1.0
5.091 0.000 0.000
0.000 5.381 0.000
0.000 0.000 5.091
Te Li Sn La
2 1 1 1
direct
0.000 0.000 0.500
0.500 0.000 0.000
0.000 0.000 0.000
0.500 0.500 0.500
0.000 0.500 0.000
```



Record 16
First-principles (PBE) data for crystalline Pm4YHo3 at its relaxed geometry, as listed in Alexandria via LeMat-Bulk.

Computed properties:
The relative energy among the computed polymorphs comes out at 0.000 eV/atom. The total energy is -4.88 eV per atom. As for the calculated volume: 33.25 Å³/atom. The formation energy is 23 meV per atom.

```
Pm4YHo3
1.0
6.313 0.000 0.000
0.000 7.318 0.000
0.000 0.000 11.516
Pm Y Ho
8 2 6
direct
0.145 0.873 0.000
0.649 0.128 0.000
0.981 0.127 0.252
0.481 0.873 0.248
0.149 0.872 0.500
0.645 0.127 0.500
0.481 0.873 0.752
0.981 0.127 0.748
0.149 0.377 0.000
0.649 0.623 0.500
0.648 0.622 0.000
0.982 0.622 0.250
0.482 0.378 0.250
0.148 0.378 0.500
0.482 0.378 0.750
0.982 0.622 0.750
```



Record 17
First-principles (PBE) data for crystalline LaPm5 at its relaxed geometry, as listed in Alexandria via LeMat-Bulk.

Computed properties:
The total energy is -4.76 eV per atom. As for the calculated volume: 34.96 Å³/atom. The formation energy is 17 meV per atom.

```
LaPm5
1.0
5.187 0.000 0.000
0.000 5.183 0.000
0.000 -2.591 7.803
La Pm
1 5
direct
0.000 0.000 0.000
0.000 0.668 0.336
0.000 0.332 0.664
0.500 0.500 0.000
0.500 0.167 0.334
0.500 0.833 0.666
```



Record 18
First-principles (PBE) data for crystalline Rb3Ac3HgO8 at its relaxed geometry, as listed in Alexandria via LeMat-Bulk.

Computed properties:
The total energy is -5.65 eV per atom. As for the calculated volume: 22.10 Å³/atom. The calculation puts the energy relative to the elements, uncorrected at -1.971 eV/atom.

```
Rb3Ac3HgO8
1.0
7.593 0.000 0.000
-3.796 6.573 -0.027
0.000 -4.360 6.660
Rb Ac Hg O
3 3 1 8
direct
0.000 0.000 0.000
0.000 0.500 0.000
0.500 0.500 0.000
0.500 0.000 0.500
0.500 0.500 0.500
0.000 0.500 0.500
0.000 0.000 0.500
0.273 0.546 0.319
0.727 0.454 0.681
0.784 0.568 0.321
0.216 0.432 0.679
0.783 0.037 0.320
0.217 0.963 0.680
0.254 0.037 0.320
0.746 0.963 0.680
```



Record 19
First-principles (PBE) data for crystalline DyMg14Cd at its relaxed geometry, as listed in Alexandria via LeMat-Bulk.

Computed properties:
The total energy is -1.74 eV per atom. As for the calculated volume: 23.53 Å³/atom. The formation energy is -2 meV per atom.

```
DyMg14Cd
1.0
-0.289 -6.689 -0.210
3.506 -0.328 5.697
-7.142 0.170 4.405
Dy Mg Cd
1 14 1
direct
0.875 0.875 0.500
0.875 0.875 0.000
0.375 0.375 0.000
0.875 0.375 0.500
0.875 0.375 0.000
0.375 0.875 0.500
0.375 0.875 0.000
0.620 0.130 0.246
0.620 0.130 0.754
0.130 0.620 0.246
0.130 0.620 0.754
0.621 0.621 0.246
0.621 0.621 0.754
0.129 0.129 0.246
0.129 0.129 0.754
0.375 0.375 0.500
```



Record 20
First-principles (PBE) data for crystalline BeFe at its relaxed geometry, as listed in Alexandria via LeMat-Bulk.

Computed properties:
The total energy is -6.16 eV per atom. As for the calculated volume: 9.49 Å³/atom. The formation energy is -65 meV per atom.

```
BeFe
1.0
-1.083 0.327 -2.137
-2.201 -0.921 -0.394
-1.553 3.166 1.271
Be Fe
1 1
direct
0.702 0.495 0.390
0.369 0.162 0.890
```